No. 1
## Dy8Co2Ir (PBE)

Data for a relaxed Dy8Co2Ir crystal.

a = 7.3720 Å, b = 7.3720 Å, c = 6.0133 Å
α = 100.11°, β = 100.11°, γ = 113.51°
With the nearest neighbours (Å) after each atom.
Fractional coordinates of all 11 atoms:
Dy 0.0000 0.0000 0.0000  1 Ir 2.90, 2 Co 3.00
Dy 0.0144 0.2790 0.5925  2 Co 2.68-2.71
Dy 0.1459 0.5725 0.1851  1 Ir 2.82
Dy 0.2790 0.0144 0.5925  2 Co 2.68-2.71
Dy 0.4338 0.6975 0.7874  2 Co 2.70-2.73, 1 Ir 2.95
Dy 0.5725 0.1459 0.1851  1 Ir 2.82
Dy 0.6975 0.4338 0.7874  2 Co 2.70-2.73, 1 Ir 2.95
Dy 0.7187 0.7187 0.3699  1 Ir 2.98, 2 Co 2.99
Co 0.0450 0.6655 0.6854  6 Dy 2.68-3.00
Co 0.6655 0.0450 0.6854  6 Dy 2.68-3.00
Ir 0.3622 0.3622 0.0172  8 Dy 2.82-3.06

Output
- E_tot (eV per cell) = -62.03
- ΔH_f (0 K) (meV/atom) = -194

---

No. 2
## LaPrHo2Tm4 (PBE)

Data for a relaxed LaPrHo2Tm4 crystal.

a = 7.1149 Å, b = 7.1149 Å, c = 12.2815 Å
α = 106.82°, β = 106.82°, γ = 60.04°
With the nearest neighbours (Å) after each atom.
Fractional coordinates of all 16 atoms:
La 0.0000 0.5000 0.0000  2 Ho 3.56, 2 Pr 3.56, 2 La 3.56, 6 Tm 3.58
La 0.5000 0.0000 0.0000  2 Ho 3.56, 2 Pr 3.56, 2 La 3.56, 6 Tm 3.58
Pr 0.0000 0.0000 0.0000  4 La 3.56, 2 Ho 3.56, 6 Tm 3.58-3.59
Pr 0.0000 0.0000 0.5000  6 Tm 3.52, 6 Ho 3.56
Ho 0.0000 0.5000 0.5000  6 Tm 3.51-3.52, 4 Ho 3.56, 2 Pr 3.56
Ho 0.5000 0.0000 0.5000  6 Tm 3.51-3.52, 2 Pr 3.56, 4 Ho 3.56
Ho 0.5000 0.5000 0.0000  4 La 3.56, 2 Pr 3.56, 6 Tm 3.57-3.58
Ho 0.5000 0.5000 0.5000  6 Tm 3.51-3.52, 4 Ho 3.56, 2 Pr 3.56
Tm 0.2492 0.7481 0.7471  3 Ho 3.52-3.57, 2 Pr 3.52-3.58, 6 Tm 3.54-3.57, 1 La 3.58
Tm 0.2496 0.2496 0.7467  3 Ho 3.52-3.58, 1 Pr 3.52, 6 Tm 3.54-3.57, 2 La 3.58
Tm 0.2516 0.2516 0.2538  3 Ho 3.51, 6 Tm 3.56, 2 La 3.58, 1 Pr 3.59
Tm 0.2519 0.7508 0.2529  3 Ho 3.52-3.57, 2 Pr 3.52-3.58, 6 Tm 3.54-3.57, 1 La 3.58
Tm 0.7481 0.2492 0.7471  3 Ho 3.52-3.57, 2 Pr 3.52-3.58, 6 Tm 3.54-3.57, 1 La 3.58
Tm 0.7484 0.7484 0.7462  3 Ho 3.51, 6 Tm 3.56, 2 La 3.58, 1 Pr 3.59
Tm 0.7504 0.7504 0.2533  3 Ho 3.52-3.58, 1 Pr 3.52, 6 Tm 3.54-3.57, 2 La 3.58
Tm 0.7508 0.2519 0.2529  3 Ho 3.52-3.57, 2 Pr 3.52-3.58, 6 Tm 3.54-3.57, 1 La 3.58

Output
- E_tot (eV per cell) = -73.11
- ΔH_f (0 K) (meV/atom) = 24

---

No. 3
## V2InRu (PBE)

Data for a relaxed V2InRu crystal.

a = 3.3139 Å, b = 3.3139 Å, c = 5.7809 Å
α = 90.00°, β = 90.00°, γ = 90.00°
With the nearest neighbours (Å) after each atom.
Fractional coordinates of all 4 atoms:
V 0.0000 0.0000 0.1976  1 V 2.28
V 0.0000 0.0000 0.8024  1 V 2.28
In 0.5000 0.5000 0.5000  2 Ru 2.89, 8 V 2.92
Ru 0.5000 0.5000 0.0000  8 V 2.61, 2 In 2.89

Output
- E_tot (eV per cell) = -30.02
- ΔH_f (0 K) (meV/atom) = 58

---

> Which formula does entry 2 have?

LaPrHo2Tm4

---

Repeat the second record exactly.
## LaPrHo2Tm4 (PBE)

Data for a relaxed LaPrHo2Tm4 crystal.

a = 7.1149 Å, b = 7.1149 Å, c = 12.2815 Å
α = 106.82°, β = 106.82°, γ = 60.04°
With the nearest neighbours (Å) after each atom.
Fractional coordinates of all 16 atoms:
La 0.0000 0.5000 0.0000  2 Ho 3.56, 2 Pr 3.56, 2 La 3.56, 6 Tm 3.58
La 0.5000 0.0000 0.0000  2 Ho 3.56, 2 Pr 3.56, 2 La 3.56, 6 Tm 3.58
Pr 0.0000 0.0000 0.0000  4 La 3.56, 2 Ho 3.56, 6 Tm 3.58-3.59
Pr 0.0000 0.0000 0.5000  6 Tm 3.52, 6 Ho 3.56
Ho 0.0000 0.5000 0.5000  6 Tm 3.51-3.52, 4 Ho 3.56, 2 Pr 3.56
Ho 0.5000 0.0000 0.5000  6 Tm 3.51-3.52, 2 Pr 3.56, 4 Ho 3.56
Ho 0.5000 0.5000 0.0000  4 La 3.56, 2 Pr 3.56, 6 Tm 3.57-3.58
Ho 0.5000 0.5000 0.5000  6 Tm 3.51-3.52, 4 Ho 3.56, 2 Pr 3.56
Tm 0.2492 0.7481 0.7471  3 Ho 3.52-3.57, 2 Pr 3.52-3.58, 6 Tm 3.54-3.57, 1 La 3.58
Tm 0.2496 0.2496 0.7467  3 Ho 3.52-3.58, 1 Pr 3.52, 6 Tm 3.54-3.57, 2 La 3.58
Tm 0.2516 0.2516 0.2538  3 Ho 3.51, 6 Tm 3.56, 2 La 3.58, 1 Pr 3.59
Tm 0.2519 0.7508 0.2529  3 Ho 3.52-3.57, 2 Pr 3.52-3.58, 6 Tm 3.54-3.57, 1 La 3.58
Tm 0.7481 0.2492 0.7471  3 Ho 3.52-3.57, 2 Pr 3.52-3.58, 6 Tm 3.54-3.57, 1 La 3.58
Tm 0.7484 0.7484 0.7462  3 Ho 3.51, 6 Tm 3.56, 2 La 3.58, 1 Pr 3.59
Tm 0.7504 0.7504 0.2533  3 Ho 3.52-3.58, 1 Pr 3.52, 6 Tm 3.54-3.57, 2 La 3.58
Tm 0.7508 0.2519 0.2529  3 Ho 3.52-3.57, 2 Pr 3.52-3.58, 6 Tm 3.54-3.57, 1 La 3.58

Output
- E_tot (eV per cell) = -73.11
- ΔH_f (0 K) (meV/atom) = 24

---

> Which of these has the highest ΔH_f (0 K)?

V2InRu